(1)
An optimized crystal structure of Sm6NpO12. Source: Alexandria, functional PBE-GGA.

Unit cell a=6.7183 b=6.7183 c=6.7183 alpha=98.78 beta=98.78 gamma=98.78
With the nearest neighbours (Å) after each atom.
Fractional coordinates of all 19 atoms:
O1 0.0722 0.9569 0.3024  1 Np 2.09
Sm1 0.1454 0.6110 0.3167  6 O 2.29-2.48
Sm2 0.3890 0.6833 0.8546  6 O 2.29-2.48
Sm3 0.8546 0.3890 0.6833  6 O 2.29-2.48
O2 0.4098 0.8225 0.5659  4 Sm 2.29-2.36
O3 0.1775 0.4341 0.5902  4 Sm 2.29-2.36
O4 0.0431 0.6976 0.9278  1 Np 2.09
O5 0.3024 0.0722 0.9569  1 Np 2.09
Np1 0.0000 0.0000 0.0000  6 O 2.09
Sm4 0.3167 0.1454 0.6110  6 O 2.29-2.48
O6 0.9569 0.3024 0.0722  1 Np 2.09
O7 0.9278 0.0431 0.6976  1 Np 2.09
O8 0.5902 0.1775 0.4341  4 Sm 2.29-2.36
O9 0.5659 0.4098 0.8225  4 Sm 2.29-2.36
Sm5 0.6833 0.8546 0.3890  6 O 2.29-2.48
O10 0.8225 0.5659 0.4098  4 Sm 2.29-2.36
O11 0.6976 0.9278 0.0431  1 Np 2.09
Sm6 0.6110 0.3167 0.1454  6 O 2.29-2.48
O12 0.4341 0.5902 0.1775  4 Sm 2.29-2.36

Properties
E_form (uncorrected) ... -64.5 eV per formula unit
V ... 291.3 Å³ per cell
VASP energy ... -165.30 eV/cell
Space group ... R-3, No. 148

(2)
An optimized crystal structure of Sm3NpO7. Source: Alexandria, functional PBE-GGA.

Unit cell a=6.7053 b=6.7053 c=7.8494 alpha=90.00 beta=90.00 gamma=109.84
With the nearest neighbours (Å) after each atom.
Fractional coordinates of all 22 atoms:
O1 0.6694 0.9173 0.5292  1 Np 2.11
Sm1 0.9971 0.4669 0.2500  7 O 2.30-2.51
O2 0.9114 0.0886 0.2500  2 Np 2.19, 2 Sm 2.40
O3 0.0827 0.3306 0.9708  1 Np 2.11
O4 0.0829 0.3307 0.5291  1 Np 2.11
O5 0.0886 0.9114 0.7500  2 Np 2.19, 2 Sm 2.40
O6 0.6335 0.3665 0.2500  4 Sm 2.30-2.45
Sm2 0.0029 0.5331 0.7500  7 O 2.30-2.51
O7 0.9173 0.6694 0.4708  1 Np 2.11
O8 0.3307 0.0829 0.4709  1 Np 2.11
O9 0.3665 0.6335 0.7500  4 Sm 2.30-2.45
Sm3 0.4669 0.9971 0.7500  7 O 2.30-2.51
O10 0.3306 0.0827 0.0292  1 Np 2.11
O11 0.9171 0.6693 0.0291  1 Np 2.11
Np1 0.0000 0.0000 0.5000  6 O 2.11-2.19
Sm4 0.5331 0.0029 0.2500  7 O 2.30-2.51
O12 0.3682 0.6318 0.2500  4 Sm 2.35-2.44
Sm5 0.4999 0.4999 0.5000  8 O 2.44-2.65
O13 0.6693 0.9171 0.9709  1 Np 2.11
O14 0.6318 0.3682 0.7500  4 Sm 2.35-2.44
Np2 0.0000 0.0000 0.0000  6 O 2.11-2.19
Sm6 0.5001 0.5001 0.0000  8 O 2.44-2.65

Properties
E_form (uncorrected) ... -36.7 eV per formula unit
V ... 332.0 Å³ per cell
VASP energy ... -197.06 eV/cell
Space group ... Cmcm, No. 63

(3)
An optimized crystal structure of SmNpSnO6. Source: Alexandria, functional PBE-GGA.

Unit cell a=5.9444 b=5.9444 c=9.5863 alpha=90.00 beta=90.00 gamma=120.00
With the nearest neighbours (Å) after each atom.
Fractional coordinates of all 18 atoms:
Sm1 0.6667 0.3333 0.7500  6 O 2.34
O1 0.9620 0.3423 0.1376  1 Np 2.04
O2 0.9620 0.6197 0.3624  1 Np 2.04
O3 0.6197 0.9620 0.8624  1 Np 2.04
Sn1 0.0000 0.0000 0.0000  6 O 2.53
Sn2 0.0000 0.0000 0.5000  6 O 2.53
Np1 0.3333 0.6667 0.7500  6 O 2.04
O4 0.3803 0.3423 0.3624  1 Np 2.04
O5 0.0380 0.6577 0.8624  1 Np 2.04
Sm2 0.3333 0.6667 0.2500  6 O 2.34
O6 0.6577 0.6197 0.1376  1 Np 2.04
O7 0.0380 0.3803 0.6376  1 Np 2.04
O8 0.3803 0.0380 0.1376  1 Np 2.04
O9 0.6577 0.0380 0.3624  1 Np 2.04
O10 0.6197 0.6577 0.6376  1 Np 2.04
O11 0.3423 0.3803 0.8624  1 Np 2.04
O12 0.3423 0.9620 0.6376  1 Np 2.04
Np2 0.6667 0.3333 0.2500  6 O 2.04

Properties
E_form (uncorrected) ... -22.1 eV per formula unit
V ... 293.4 Å³ per cell
VASP energy ... -146.93 eV/cell
Space group ... P-31c, No. 163

(4)
An optimized crystal structure of SrSmNpO6. Source: Alexandria, functional PBE-GGA.

Unit cell a=5.9464 b=5.9464 c=9.9804 alpha=90.00 beta=90.00 gamma=120.00
With the nearest neighbours (Å) after each atom.
Fractional coordinates of all 18 atoms:
Sr1 0.0000 0.0000 0.0000  6 O 2.60
O1 0.0378 0.6532 0.8584  1 Np 2.03
O2 0.3846 0.0378 0.1416  1 Np 2.03
O3 0.9622 0.3468 0.1416  1 Np 2.03
Sm1 0.3333 0.6667 0.2500  6 O 2.34
O4 0.3468 0.3846 0.8584  1 Np 2.03
O5 0.6532 0.6154 0.1416  1 Np 2.03
Np1 0.3333 0.6667 0.7500  6 O 2.03
O6 0.6154 0.9622 0.8584  1 Np 2.03
Sr2 0.0000 0.0000 0.5000  6 O 2.60
Sm2 0.6667 0.3333 0.7500  6 O 2.34
O7 0.6154 0.6532 0.6416  1 Np 2.03
O8 0.0378 0.3846 0.6416  1 Np 2.03
Np2 0.6667 0.3333 0.2500  6 O 2.03
O9 0.9622 0.6154 0.3584  1 Np 2.03
O10 0.6532 0.0378 0.3584  1 Np 2.03
O11 0.3468 0.9622 0.6416  1 Np 2.03
O12 0.3846 0.3468 0.3584  1 Np 2.03

Properties
E_form (uncorrected) ... -26.6 eV per formula unit
V ... 305.6 Å³ per cell
VASP energy ... -151.47 eV/cell
Space group ... P-31c, No. 163